BaSrNb (GGA-PBE, relaxed); ΔE to the lowest computed polymorph = 0 meV/atom; SG = No. 216; magnetic moment = 4.9 μB/cell; crystal system = cubic
1.0
0.000 4.141 4.141
4.141 0.000 4.141
4.141 4.141 0.000
Ba Sr Nb
1 1 1
direct
0.000 0.000 0.000
0.500 0.500 0.500
0.750 0.750 0.750